# Mg2WAu (PBE-GGA, relaxed)
data_Mg2WAu
_chemical_formula_sum 'Mg2 W1 Au1'
_cell_length_a 5.879
_cell_length_b 5.879
_cell_length_c 5.879
_cell_angle_alpha 151.63
_cell_angle_beta 130.67
_cell_angle_gamma 57.89
_space_group_name_H-M_alt 'P 1'
_space_group_IT_number 1
_space_group_name_Hall 'P 1'
loop_
_atom_site_label
_atom_site_fract_x
_atom_site_fract_y
_atom_site_fract_z
Au1 0.254 0.754 0.500
Mg1 0.020 0.020 0.000
Mg2 0.739 0.239 0.500
W1 0.487 0.487 0.000
# Volume = 18.18 Å³/atom
# Formation enthalpy at 0 K = 0.28 eV per atom

***

# MgWAu2 (PBE-GGA, relaxed)
data_MgWAu2
_chemical_formula_sum 'Mg1 W1 Au2'
_cell_length_a 2.859
_cell_length_b 5.053
_cell_length_c 4.881
_cell_angle_alpha 90.00
_cell_angle_beta 90.00
_cell_angle_gamma 90.00
_space_group_name_H-M_alt 'P 1'
_space_group_IT_number 1
_space_group_name_Hall 'P 1'
loop_
_atom_site_label
_atom_site_fract_x
_atom_site_fract_y
_atom_site_fract_z
Au1 0.000 0.000 0.000
Au2 0.500 0.500 0.000
Mg1 0.500 0.000 0.500
W1 0.000 0.500 0.500
# Volume = 17.63 Å³/atom
# Formation enthalpy at 0 K = 0.38 eV per atom

***

# Mg2WAu (PBE-GGA, relaxed)
data_Mg2WAu
_chemical_formula_sum 'Mg2 W1 Au1'
_cell_length_a 3.024
_cell_length_b 4.944
_cell_length_c 4.729
_cell_angle_alpha 90.00
_cell_angle_beta 90.00
_cell_angle_gamma 90.00
_space_group_name_H-M_alt 'P 1'
_space_group_IT_number 1
_space_group_name_Hall 'P 1'
loop_
_atom_site_label
_atom_site_fract_x
_atom_site_fract_y
_atom_site_fract_z
Au1 0.000 0.500 0.500
Mg1 0.000 0.000 0.000
Mg2 0.500 0.500 0.000
W1 0.500 0.000 0.500
# Volume = 17.68 Å³/atom
# Formation enthalpy at 0 K = 0.32 eV per atom

***

# MgWAu2 (PBE-GGA, relaxed)
data_MgWAu2
_chemical_formula_sum 'Mg1 W1 Au2'
_cell_length_a 4.613
_cell_length_b 4.613
_cell_length_c 4.613
_cell_angle_alpha 60.00
_cell_angle_beta 60.00
_cell_angle_gamma 60.00
_space_group_name_H-M_alt 'P 1'
_space_group_IT_number 1
_space_group_name_Hall 'P 1'
loop_
_atom_site_label
_atom_site_fract_x
_atom_site_fract_y
_atom_site_fract_z
Au1 0.000 0.000 0.000
Au2 0.250 0.250 0.250
Mg1 0.500 0.500 0.500
W1 0.750 0.750 0.750
# Volume = 17.35 Å³/atom
# Formation enthalpy at 0 K = 0.47 eV per atom